# 1
The following is a DFT calculation (GGA-PBE) of a relaxed structure of Li2HfSnO.

Output
* E above lowest polymorph: 1822 meV/atom
* uncorrected formation energy: 0.4983 eV per atom
* ρ: 5.1 g/cm3
* total DFT energy (no corrections): -4.050 eV per atom

abc: 5.0382 5.0382 4.1553
angles: 90.00 90.00 90.00
Atoms (fractional coordinates):
Li 0.0000 0.5000 0.0000
Li 0.5000 0.0000 0.0000
Hf 0.0000 0.0000 0.5000
Sn 0.5000 0.5000 0.0000
O 0.5000 0.5000 0.5000

=====

# 2
The following is a DFT calculation (GGA-PBE) of a relaxed structure of Li2HfSnO.

Output
* E above lowest polymorph: 0 meV/atom
* uncorrected formation energy: -1.3233 eV per atom
* ρ: 7.2 g/cm3
* total DFT energy (no corrections): -5.872 eV per atom

abc: 4.1776 4.1776 4.2955
angles: 90.00 90.00 90.00
Atoms (fractional coordinates):
Li 0.0000 0.5000 0.0000
Li 0.5000 0.0000 0.0000
Hf 0.0000 0.0000 0.5000
Sn 0.5000 0.5000 0.5000
O 0.0000 0.0000 0.0000

=====

> The lowest total DFT energy (no corrections) belongs to which entry?

number 2

=====

> Which formula does entry 2 have?

Li2HfSnO

=====

> Which formula does entry 2 have?

Li2HfSnO